1.
# LiHg2Au

An optimized crystal structure of LiHg2Au (GGA-PBE, Alexandria via LeMat-Bulk).

symmetry	I-42d (122)
ΔE_f	-0.100	eV per atom
calculated volume	180	Å³ per cell

Unit cell a=7.823 b=7.823 c=6.264 alpha=51.36 beta=51.36 gamma=90.00
Fractional positions:
Au (0.000, 0.000, 0.000)
Au (0.750, 0.250, 0.500)
Hg (0.619, 0.125, 0.250)
Hg (0.131, 0.625, 0.250)
Hg (0.375, 0.381, 0.750)
Hg (0.875, 0.869, 0.750)
Li (0.500, 0.500, 0.000)
Li (0.250, 0.750, 0.500)


2.
# Sb2TeMoRh

An optimized crystal structure of Sb2TeMoRh (GGA-PBE, Alexandria via LeMat-Bulk).

symmetry	P4/mmm (123)
polymorph energy (0 for the lowest one)	47.3	meV per atom
formation energy (no corrections)	0.93	eV/atom
calculated volume	138	Å³ per cell

Unit cell a=5.171 b=5.171 c=5.158 alpha=90.00 beta=90.00 gamma=90.00
Fractional positions:
Sb (0.000, 0.500, 0.000)
Sb (0.500, 0.000, 0.000)
Mo (0.000, 0.000, 0.000)
Te (0.000, 0.000, 0.500)
Rh (0.500, 0.500, 0.500)


Number 1: N(E_F) 0.114 states/eV per atom, mass density 11.18 g/cm³. Number 2: N(E_F) 0.838 states/eV per atom, mass density 6.86 g/cm³.